Entry 1:
The following is a GGA-PBE calculation of a relaxed structure of H2Pb4CCl6O4, from Alexandria.

a = 4.308 Å, b = 9.271 Å, c = 16.993 Å
α = 90.00°, β = 92.89°, γ = 90.00°
Fractional positions:
H: 0.244 0.167 0.100
H: 0.244 0.333 0.100
H: 0.756 0.667 0.900
H: 0.756 0.833 0.900
Pb: 0.155 0.009 0.735
Pb: 0.155 0.491 0.735
Pb: 0.217 0.750 0.507
Pb: 0.245 0.750 0.041
Pb: 0.755 0.250 0.959
Pb: 0.783 0.250 0.493
Pb: 0.845 0.509 0.265
Pb: 0.845 0.991 0.265
C: 0.432 0.250 0.243
C: 0.568 0.750 0.757
Cl: 0.221 0.035 0.913
Cl: 0.221 0.054 0.416
Cl: 0.221 0.446 0.416
Cl: 0.221 0.465 0.913
Cl: 0.269 0.250 0.609
Cl: 0.298 0.750 0.216
Cl: 0.702 0.250 0.784
Cl: 0.731 0.750 0.391
Cl: 0.779 0.535 0.087
Cl: 0.779 0.554 0.584
Cl: 0.779 0.946 0.584
Cl: 0.779 0.965 0.087
O: 0.247 0.250 0.064
O: 0.301 0.750 0.716
O: 0.312 0.127 0.222
O: 0.312 0.373 0.222
O: 0.688 0.627 0.778
O: 0.688 0.873 0.778
O: 0.699 0.250 0.284
O: 0.753 0.750 0.936

Properties
SG: P2_1/m
Uncorrected energy (eV/cell): -164.2
Spin magnetization (Bohr magnetons per cell): 0.000


Entry 2:
The following is a GGA-PBE calculation of a relaxed structure of H2RuC3Cl2O4, from Alexandria.

a = 6.620 Å, b = 10.651 Å, c = 13.468 Å
α = 90.00°, β = 111.75°, γ = 90.00°
Fractional positions:
H: 0.224 0.067 0.075
H: 0.224 0.433 0.575
H: 0.229 0.513 0.481
H: 0.229 0.987 0.981
H: 0.771 0.013 0.019
H: 0.771 0.487 0.519
H: 0.776 0.567 0.425
H: 0.776 0.933 0.925
Ru: 0.037 0.208 0.895
Ru: 0.037 0.292 0.395
Ru: 0.963 0.708 0.605
Ru: 0.963 0.792 0.105
C: 0.167 0.683 0.201
C: 0.167 0.817 0.701
C: 0.199 0.154 0.476
C: 0.199 0.346 0.976
C: 0.205 0.201 0.808
C: 0.205 0.299 0.308
C: 0.795 0.701 0.692
C: 0.795 0.799 0.192
C: 0.801 0.654 0.024
C: 0.801 0.846 0.524
C: 0.833 0.183 0.299
C: 0.833 0.317 0.799
Cl: 0.169 0.529 0.703
Cl: 0.169 0.971 0.203
Cl: 0.178 0.712 0.492
Cl: 0.178 0.788 0.992
Cl: 0.822 0.212 0.008
Cl: 0.822 0.288 0.508
Cl: 0.831 0.029 0.797
Cl: 0.831 0.471 0.297
O: 0.251 0.075 0.007
O: 0.251 0.425 0.507
O: 0.294 0.069 0.524
O: 0.294 0.431 0.024
O: 0.297 0.618 0.259
O: 0.297 0.882 0.759
O: 0.304 0.197 0.753
O: 0.304 0.303 0.253
O: 0.696 0.697 0.747
O: 0.696 0.803 0.247
O: 0.703 0.118 0.241
O: 0.703 0.382 0.741
O: 0.706 0.569 0.976
O: 0.706 0.931 0.476
O: 0.749 0.575 0.493
O: 0.749 0.925 0.993

Properties
SG: P2_1/c
Uncorrected energy (eV/cell): -308.6
Spin magnetization (Bohr magnetons per cell): 0.001


Entry 3:
The following is a GGA-PBE calculation of a relaxed structure of H16Ru3C6Cl6O14, from Alexandria.

a = 6.796 Å, b = 7.248 Å, c = 15.294 Å
α = 93.69°, β = 98.03°, γ = 114.90°
Fractional positions:
H: 0.016 0.015 0.327
H: 0.133 0.583 0.634
H: 0.222 0.157 0.673
H: 0.238 0.351 0.437
H: 0.240 0.827 0.429
H: 0.248 0.413 0.539
H: 0.250 0.799 0.531
H: 0.393 0.688 0.647
H: 0.607 0.312 0.353
H: 0.750 0.201 0.469
H: 0.752 0.587 0.461
H: 0.760 0.173 0.571
H: 0.762 0.649 0.563
H: 0.778 0.843 0.327
H: 0.867 0.417 0.366
H: 0.984 0.985 0.673
Ru: 0.000 0.000 0.500
Ru: 0.228 0.390 0.184
Ru: 0.772 0.610 0.816
C: 0.082 0.774 0.837
C: 0.195 0.600 0.125
C: 0.263 0.266 0.079
C: 0.737 0.734 0.921
C: 0.805 0.400 0.875
C: 0.918 0.226 0.163
Cl: 0.200 0.544 0.329
Cl: 0.288 0.127 0.263
Cl: 0.375 0.404 0.786
Cl: 0.625 0.596 0.214
Cl: 0.712 0.873 0.737
Cl: 0.800 0.456 0.671
O: 0.108 0.024 0.640
O: 0.174 0.723 0.085
O: 0.241 0.893 0.487
O: 0.246 0.302 0.496
O: 0.257 0.623 0.601
O: 0.271 0.873 0.851
O: 0.286 0.193 0.014
O: 0.714 0.807 0.986
O: 0.729 0.127 0.149
O: 0.743 0.377 0.399
O: 0.754 0.698 0.504
O: 0.759 0.107 0.513
O: 0.826 0.277 0.915
O: 0.892 0.976 0.360

Properties
SG: P-1
Uncorrected energy (eV/cell): -256.3
Spin magnetization (Bohr magnetons per cell): 0.103


Entry 4:
The following is a GGA-PBE calculation of a relaxed structure of Sn2H12C4Cl2O, from Alexandria.

a = 7.457 Å, b = 19.045 Å, c = 9.133 Å
α = 90.00°, β = 108.19°, γ = 90.00°
Fractional positions:
Sn: 0.023 0.038 0.339
Sn: 0.023 0.462 0.839
Sn: 0.075 0.161 0.657
Sn: 0.075 0.339 0.157
Sn: 0.925 0.661 0.843
Sn: 0.925 0.839 0.343
Sn: 0.977 0.538 0.161
Sn: 0.977 0.962 0.661
H: 0.160 0.735 0.482
H: 0.160 0.765 0.982
H: 0.231 0.585 0.422
H: 0.231 0.915 0.922
H: 0.238 0.728 0.831
H: 0.238 0.772 0.331
H: 0.286 0.683 0.013
H: 0.286 0.817 0.513
H: 0.292 0.037 0.201
H: 0.292 0.463 0.701
H: 0.316 0.541 0.818
H: 0.316 0.959 0.318
H: 0.325 0.509 0.354
H: 0.325 0.991 0.854
H: 0.326 0.594 0.265
H: 0.326 0.906 0.765
H: 0.394 0.234 0.689
H: 0.394 0.266 0.189
H: 0.400 0.043 0.406
H: 0.400 0.457 0.906
H: 0.408 0.192 0.869
H: 0.408 0.308 0.369
H: 0.448 0.142 0.714
H: 0.448 0.358 0.214
H: 0.552 0.642 0.786
H: 0.552 0.858 0.286
H: 0.592 0.692 0.631
H: 0.592 0.808 0.131
H: 0.600 0.543 0.094
H: 0.600 0.957 0.594
H: 0.606 0.734 0.811
H: 0.606 0.766 0.311
H: 0.674 0.094 0.235
H: 0.674 0.406 0.735
H: 0.675 0.009 0.146
H: 0.675 0.491 0.646
H: 0.684 0.041 0.682
H: 0.684 0.459 0.182
H: 0.708 0.537 0.299
H: 0.708 0.963 0.799
H: 0.714 0.183 0.487
H: 0.714 0.317 0.987
H: 0.762 0.228 0.669
H: 0.762 0.272 0.169
H: 0.769 0.085 0.078
H: 0.769 0.415 0.578
H: 0.840 0.235 0.018
H: 0.840 0.265 0.518
C: 0.186 0.716 0.928
C: 0.186 0.784 0.428
C: 0.250 0.559 0.321
C: 0.250 0.941 0.821
C: 0.293 0.016 0.313
C: 0.293 0.484 0.813
C: 0.369 0.186 0.744
C: 0.369 0.314 0.244
C: 0.631 0.686 0.756
C: 0.631 0.814 0.256
C: 0.707 0.516 0.187
C: 0.707 0.984 0.687
C: 0.750 0.059 0.179
C: 0.750 0.441 0.679
C: 0.814 0.216 0.572
C: 0.814 0.284 0.072
Cl: 0.041 0.110 0.898
Cl: 0.041 0.390 0.398
Cl: 0.112 0.175 0.362
Cl: 0.112 0.325 0.862
Cl: 0.888 0.675 0.138
Cl: 0.888 0.825 0.638
Cl: 0.959 0.610 0.602
Cl: 0.959 0.890 0.102
O: 0.036 0.060 0.566
O: 0.036 0.440 0.066
O: 0.964 0.560 0.934
O: 0.964 0.940 0.434

Properties
SG: P2_1/c
Uncorrected energy (eV/cell): -406.9
Spin magnetization (Bohr magnetons per cell): 0.000